No. 1
This record from Alexandria via LeMat-Bulk describes a relaxed Na3In2As4 crystal. The functional is PBE.

Cell: 16.6225 4.2706 7.4300 Å, 90.00 116.20 90.00°
Space group C2/m (No. 12)
Inequivalent atoms, fractional coordinates:
Na 0.0000 0.0000 0.0000
Na 0.1581 0.0000 0.7842
In 0.1601 0.5000 0.3832
As 0.0115 0.5000 0.6704
As 0.2078 0.0000 0.2241

Values from the calculation:
Volume in Å³/cell: 473
ΔH_f (0 K) in eV/atom: -0.320

=====

No. 2
This record from Alexandria via LeMat-Bulk describes a relaxed Na3InAs crystal. The functional is PBE.

Cell: 5.5483 5.5483 5.5483 Å, 90.00 90.00 90.00°
Space group Pm-3m (No. 221)
Inequivalent atoms, fractional coordinates:
Na 0.0000 0.0000 0.5000
In 0.5000 0.5000 0.5000
As 0.0000 0.0000 0.0000

Values from the calculation:
Volume in Å³/cell: 171
ΔE to the lowest computed polymorph in meV/atom: 136.5
ΔH_f (0 K) in eV/atom: -0.047

=====

No. 3
This record from Alexandria via LeMat-Bulk describes a relaxed NaInAs crystal. The functional is PBE.

Cell: 4.5349 9.8834 6.3243 Å, 90.00 90.00 90.00°
Space group Cmcm (No. 63)
Inequivalent atoms, fractional coordinates:
Na 0.0000 0.0000 0.0000
In 0.0000 0.3205 0.2500
As 0.0000 0.3530 0.7500

Values from the calculation:
Volume in Å³/cell: 283
ΔH_f (0 K) in eV/atom: -0.218

=====

No. 4
This record from Alexandria via LeMat-Bulk describes a relaxed NaIn3As crystal. The functional is PBE.

Cell: 5.4893 5.4893 5.4893 Å, 90.00 90.00 90.00°
Space group Pm-3m (No. 221)
Inequivalent atoms, fractional coordinates:
Na 0.0000 0.0000 0.0000
In 0.0000 0.5000 0.5000
As 0.5000 0.5000 0.5000

Values from the calculation:
Volume in Å³/cell: 165
ΔE to the lowest computed polymorph in meV/atom: 0.0
ΔH_f (0 K) in eV/atom: 0.217

=====

No. 5
This record from Alexandria via LeMat-Bulk describes a relaxed Na2InAs crystal. The functional is PBE.

Cell: 4.4590 4.4590 4.7029 Å, 90.00 90.00 90.00°
Space group P4/mmm (No. 123)
Inequivalent atoms, fractional coordinates:
Na 0.0000 0.5000 0.0000
In 0.0000 0.0000 0.5000
As 0.5000 0.5000 0.5000

Values from the calculation:
Volume in Å³/cell: 94
ΔE to the lowest computed polymorph in meV/atom: 3.5
ΔH_f (0 K) in eV/atom: -0.199

=====

No. 6
This record from Alexandria via LeMat-Bulk describes a relaxed NaInAs crystal. The functional is PBE.

Cell: 8.9610 9.4535 4.2961 Å, 90.00 118.62 90.00°
Space group Cm (No. 8)
Inequivalent atoms, fractional coordinates:
Na 0.0000 0.0000 0.0000
Na 0.1566 0.5000 0.1538
In 0.3727 0.1562 0.3693
As 0.2150 0.2706 0.7118

Values from the calculation:
Volume in Å³/cell: 319
ΔH_f (0 K) in eV/atom: -0.291

=====

No. 7
This record from Alexandria via LeMat-Bulk describes a relaxed NaIn2As2 crystal. The functional is PBE.

Cell: 4.6709 4.6709 13.2282 Å, 90.00 90.00 90.00°
Space group I4/mmm (No. 139)
Inequivalent atoms, fractional coordinates:
Na 0.0000 0.0000 0.0000
In 0.0000 0.5000 0.2500
As 0.0000 0.0000 0.3716

Values from the calculation:
Volume in Å³/cell: 289
ΔH_f (0 K) in eV/atom: -0.125

=====

No. 8
This record from Alexandria via LeMat-Bulk describes a relaxed Na3In2As3 crystal. The functional is PBE.

Cell: 4.3418 13.2690 14.5538 Å, 90.00 90.00 90.00°
Space group Cmcm (No. 63)
Inequivalent atoms, fractional coordinates:
Na 0.0000 0.0365 0.1235
Na 0.0000 0.2908 0.2500
In 0.0000 0.2526 0.5937
As 0.0000 0.3679 0.7500
As 0.0000 0.3724 0.0600

Values from the calculation:
Volume in Å³/cell: 838
ΔH_f (0 K) in eV/atom: -0.351

=====

No. 9
This record from Alexandria via LeMat-Bulk describes a relaxed NaIn2As crystal. The functional is PBE.

Cell: 4.1315 4.1315 24.0065 Å, 90.00 90.00 120.00°
Space group R3m (No. 160, hexagonal axes)
Inequivalent atoms, fractional coordinates:
Na 0.0000 0.0000 0.0000
In 0.0000 0.0000 0.2335
In 0.0000 0.0000 0.4373
As 0.0000 0.0000 0.8361

Values from the calculation:
Volume in Å³/cell: 355
ΔH_f (0 K) in eV/atom: -0.117

=====

No. 10
This record from Alexandria via LeMat-Bulk describes a relaxed NaIn2As crystal. The functional is PBE.

Cell: 4.1012 4.1012 28.0281 Å, 90.00 90.00 120.00°
Space group R-3m (No. 166, hexagonal axes)
Inequivalent atoms, fractional coordinates:
Na 0.0000 0.0000 0.0000
In 0.0000 0.0000 0.1107
As 0.0000 0.0000 0.5000

Values from the calculation:
Volume in Å³/cell: 408
ΔH_f (0 K) in eV/atom: -0.036

=====

No. 11
This record from Alexandria via LeMat-Bulk describes a relaxed NaInAs crystal. The functional is PBE.

Cell: 7.2235 7.2198 6.5125 Å, 90.00 90.08 90.00°
Space group C2 (No. 5)
Inequivalent atoms, fractional coordinates:
Na 0.2494 0.0000 0.3504
In 0.0000 0.2490 0.0000
In 0.0000 0.7487 0.0000
As 0.2500 0.4988 0.1993

Values from the calculation:
Volume in Å³/cell: 340
ΔH_f (0 K) in eV/atom: -0.218

=====

No. 12
This record from Alexandria via LeMat-Bulk describes a relaxed NaIn2As crystal. The functional is PBE.

Cell: 8.8133 8.8133 5.6458 Å, 90.00 90.00 90.00°
Space group I-42d (No. 122)
Inequivalent atoms, fractional coordinates:
Na 0.0000 0.0000 0.0000
In 0.1829 0.2500 0.6250
As 0.0000 0.0000 0.5000

Values from the calculation:
Volume in Å³/cell: 439
ΔH_f (0 K) in eV/atom: -0.177

=====

No. 13
This record from Alexandria via LeMat-Bulk describes a relaxed NaIn3As crystal. The functional is PBE.

Cell: 5.4286 5.4286 5.4286 Å, 90.00 90.00 90.00°
Space group Pm-3m (No. 221)
Inequivalent atoms, fractional coordinates:
Na 0.0000 0.0000 0.0000
In 0.0000 0.0000 0.5000
As 0.5000 0.5000 0.5000

Values from the calculation:
Volume in Å³/cell: 160
ΔE to the lowest computed polymorph in meV/atom: 446.3
ΔH_f (0 K) in eV/atom: 0.663

=====

No. 14
This record from Alexandria via LeMat-Bulk describes a relaxed Na2InAs crystal. The functional is PBE.

Cell: 7.2836 7.2836 7.2836 Å, 90.00 90.00 90.00°
Space group Fm-3m (No. 225)
Inequivalent atoms, fractional coordinates:
Na 0.2500 0.2500 0.2500
In 0.0000 0.0000 0.0000
As 0.0000 0.0000 0.5000

Values from the calculation:
Volume in Å³/cell: 386
ΔE to the lowest computed polymorph in meV/atom: 0.0
ΔH_f (0 K) in eV/atom: -0.202